# 1
NaCaTl3 after structural relaxation. Source: Alexandria via LeMat-Bulk, functional PBE-GGA.

The structure in POSCAR format:
```
NaCaTl3
1.0
9.190 0.000 0.000
0.000 6.470 0.000
-3.346 0.000 9.931
Na Ca Tl
4 4 12
direct
0.062 0.056 0.159
0.062 0.444 0.659
0.938 0.556 0.341
0.938 0.944 0.841
0.357 0.745 0.457
0.357 0.755 0.957
0.643 0.245 0.043
0.643 0.255 0.543
0.154 0.559 0.146
0.154 0.941 0.646
0.246 0.248 0.942
0.246 0.252 0.442
0.440 0.069 0.240
0.440 0.431 0.740
0.560 0.569 0.260
0.560 0.931 0.760
0.754 0.748 0.558
0.754 0.752 0.058
0.846 0.059 0.354
0.846 0.441 0.854
```

Values from the calculation:
The value obtained for the total energy is -45.64 eV/cell. Its symmetry is No. 14. The distance to the lowest polymorph of the same formula is 0.000 eV/atom. As for the formation energy: -198 meV per atom.

# 2
Zr2OsPb after structural relaxation. Source: Alexandria via LeMat-Bulk, functional PBE-GGA.

The structure in POSCAR format:
```
Zr2OsPb
1.0
-2.226 2.226 4.102
2.226 -2.226 4.102
2.226 2.226 -4.102
Zr Os Pb
2 1 1
direct
0.250 0.750 0.500
0.750 0.250 0.500
0.000 0.000 0.000
0.500 0.500 0.000
```

Values from the calculation:
The value obtained for the total energy is -32.15 eV/cell. Its symmetry is No. 139. As for the formation energy: -29 meV per atom.